Record 1
# NbTlN2F (PBE, relaxed)
# Magnetic moment   0.0 μB per formula unit
# E above lowest polymorph   0.000 eV per atom
data_NbTlN2F
_symmetry_space_group_name_H-M 'P 4/m m m'
_symmetry_Int_Tables_number 123
_symmetry_space_group_name_Hall '-P 4 2'
_cell_length_a 4.131
_cell_length_b 4.131
_cell_length_c 4.341
_cell_angle_alpha 90.00
_cell_angle_beta 90.00
_cell_angle_gamma 90.00
loop_
_atom_site_label
_atom_site_type_symbol
_atom_site_fract_x
_atom_site_fract_y
_atom_site_fract_z
Nb1 Nb 0.000 0.000 0.000
Tl1 Tl 0.500 0.500 0.500
N1 N 0.000 0.500 0.000
F1 F 0.000 0.000 0.500

***

Record 2
# NbTlNF2 (PBE, relaxed)
# Magnetic moment   1.0 μB per formula unit
# E above lowest polymorph   0.000 eV per atom
data_NbTlNF2
_symmetry_space_group_name_H-M 'P 4/m m m'
_symmetry_Int_Tables_number 123
_symmetry_space_group_name_Hall '-P 4 2'
_cell_length_a 4.406
_cell_length_b 4.406
_cell_length_c 4.052
_cell_angle_alpha 90.00
_cell_angle_beta 90.00
_cell_angle_gamma 90.00
loop_
_atom_site_label
_atom_site_type_symbol
_atom_site_fract_x
_atom_site_fract_y
_atom_site_fract_z
Nb1 Nb 0.000 0.000 0.000
Tl1 Tl 0.500 0.500 0.500
N1 N 0.000 0.000 0.500
F1 F 0.000 0.500 0.000

***

> The lowest magnetic moment belongs to which entry?

NbTlN2F